Here is a geometry-optimized MnSiNi2 structure from the Alexandria database. Energies are from PBE.

a = 7.949 Å, b = 7.949 Å, c = 7.949 Å
α = 19.13°, β = 19.13°, γ = 19.13°
Positions (direct):
Mn: 0.000 0.000 0.000
Si: 0.500 0.500 0.500
Ni: 0.245 0.245 0.245
Ni: 0.755 0.755 0.755

Values from the calculation:
Magnetization   0.85 μB per atom
ΔE_f (raw)   -108 meV per atom
V   11.784 A^3/atom
D(E_F)   2.80 states/eV/f.u.
Symmetry   R-3m